A geometry-optimized BaSmCd2 structure. Source: Alexandria via LeMat-Bulk, functional PBE.

Output
V in Å³/atom: 34.85
DFT formation energy in eV per atom: -0.067
SG: R-3m, No. 166
Total DFT energy (no corrections) in eV per atom: -2.185

The structure in POSCAR format:
```
BaSmCd2
1.0
-2.3042 0.4637 -3.1805
-0.9722 -3.1316 -2.2110
-9.4399 -2.4111 4.0287
Cd Ba Sm
2 1 1
Cartesian
-2.9862 -1.2346 -0.4753
-9.7301 -3.8444 -0.8875
-6.3581 -2.5395 -0.6814
0.0000 0.0000 0.0000
```